Compound: Y3HgW
Source: the Alexandria database
Functional: PBE-GGA
Structure: relaxed

- E_form (eV/f.u.) = 2.5
- space group = Pm-3m, No. 221
- E above lowest polymorph (kJ/mol of atoms) = 0.0

```
Y3HgW
1.0
-3.2459 -4.3174 0.3764
1.1913 -0.4368 5.2638
-4.1668 3.2384 1.2118
Y Hg W
3 1 1
Direct
0.0000 0.5000 0.0000
0.0000 0.0000 0.5000
0.5000 0.0000 0.0000
0.5000 0.5000 0.5000
0.0000 0.0000 0.0000
```